PBE-GGA Ac2CdCo, optimized geometry; calculated volume = 154 Å³/f.u.; total magnetic moment = 0.00 Bohr magnetons per cell; total energy = -3.95 eV/atom; space group = R-3m (166); relative energy among the computed polymorphs = 215 meV/atom; N(E_F) = 0.93 states/eV per atom
1.0
-1.983 1.019 3.506
-3.693 -1.695 0.866
2.809 -7.961 6.364
Ac Co Cd
2 1 1
Direct
0.116 0.116 0.651
0.884 0.884 0.349
0.500 0.500 0.500
0.000 0.000 0.000